# 1
A relaxed CaMoC crystal, computed with PBE.

Calculated values
**Electronic total energy**: -7.147 eV/atom

Cell lengths 3.566, 3.566, 8.938 Å; angles 90.00, 90.00, 90.00 degrees
Space group P4/nmm (No. 129, origin choice 2)
Unique sites:
Ca  0.250  0.250  0.198 (multiplicity 2)
Mo  0.250  0.750  0.500 (multiplicity 2)
C  0.250  0.250  0.660 (multiplicity 2)



# 2
A relaxed CaMoC2 crystal, computed with PBE.

Calculated values
**Offset from the most stable computed form**: 0.0 meV/atom

Cell lengths 3.1728, 3.1728, 17.2703 Å; angles 90.00, 90.00, 120.00 degrees
Space group R-3m (No. 166, hexagonal axes)
Unique sites:
Ca  0.0000  0.0000  0.0000 (multiplicity 3)
Mo  0.0000  0.0000  0.5000 (multiplicity 3)
C  0.0000  0.0000  0.2348 (multiplicity 6)



# 3
A relaxed CaMo2CS crystal, computed with PBE.

Calculated values
**Raw formation energy**: 1.433 eV/atom

Cell lengths 4.378, 4.378, 5.275 Å; angles 90.00, 90.00, 90.00 degrees
Space group P4/mmm (No. 123)
Unique sites:
Ca  0.000  0.000  0.000 (multiplicity 1)
Mo  0.000  0.500  0.500 (multiplicity 2)
C  0.500  0.500  0.000 (multiplicity 1)
S  0.000  0.000  0.500 (multiplicity 1)



# 4
A relaxed Ca2ScMoC crystal, computed with PBE.

Calculated values
**Electronic total energy**: -4.951 eV/atom

Cell lengths 5.794, 5.794, 3.986 Å; angles 90.00, 90.00, 90.00 degrees
Space group P4/mmm (No. 123)
Unique sites:
Ca  0.000  0.500  0.000 (multiplicity 2)
Sc  0.000  0.000  0.500 (multiplicity 1)
Mo  0.500  0.500  0.000 (multiplicity 1)
C  0.500  0.500  0.500 (multiplicity 1)



# 5
A relaxed CaTcMo2C crystal, computed with PBE.

Calculated values
**Electronic total energy**: -8.227 eV/atom

Cell lengths 4.279, 4.279, 4.251 Å; angles 90.00, 90.00, 90.00 degrees
Space group P4/mmm (No. 123)
Unique sites:
Ca  0.000  0.000  0.000 (multiplicity 1)
Tc  0.500  0.500  0.000 (multiplicity 1)
Mo  0.000  0.500  0.500 (multiplicity 2)
C  0.500  0.500  0.500 (multiplicity 1)



# 6
A relaxed CaTe2MoC crystal, computed with PBE.

Calculated values
**Raw formation energy**: 0.151 eV/atom

Cell lengths 5.558, 5.558, 3.971 Å; angles 90.00, 90.00, 90.00 degrees
Space group P4/mmm (No. 123)
Unique sites:
Ca  0.000  0.000  0.000 (multiplicity 1)
Te  0.000  0.500  0.500 (multiplicity 2)
Mo  0.500  0.500  0.500 (multiplicity 1)
C  0.500  0.500  0.000 (multiplicity 1)



# 7
A relaxed Ca2TeMoC crystal, computed with PBE.

Calculated values
**Raw formation energy**: -0.160 eV/atom

Cell lengths 5.098, 5.098, 4.144 Å; angles 90.00, 90.00, 90.00 degrees
Space group P4/mmm (No. 123)
Unique sites:
Ca  0.000  0.500  0.000 (multiplicity 2)
Te  0.000  0.000  0.500 (multiplicity 1)
Mo  0.500  0.500  0.500 (multiplicity 1)
C  0.500  0.500  0.000 (multiplicity 1)



# 8
A relaxed CaMo2WC crystal, computed with PBE.

Calculated values
**Electronic total energy**: -8.387 eV/atom

Cell lengths 4.179, 4.179, 4.627 Å; angles 90.00, 90.00, 90.00 degrees
Space group P4/mmm (No. 123)
Unique sites:
Ca  0.000  0.000  0.000 (multiplicity 1)
Mo  0.000  0.500  0.500 (multiplicity 2)
W  0.500  0.500  0.000 (multiplicity 1)
C  0.000  0.000  0.500 (multiplicity 1)



# 9
A relaxed CaZrMoC2 crystal, computed with PBE.

Calculated values
**Electronic total energy**: -5.256 eV/atom

Cell lengths 4.317, 4.317, 4.701 Å; angles 90.00, 90.00, 90.00 degrees
Space group P4/mmm (No. 123)
Unique sites:
Ca  0.000  0.000  0.000 (multiplicity 1)
Zr  0.500  0.500  0.500 (multiplicity 1)
Mo  0.000  0.000  0.500 (multiplicity 1)
C  0.000  0.500  0.000 (multiplicity 2)



# 10
A relaxed CaCN2 crystal, computed with PBE.

Calculated values
**Raw formation energy**: -0.016 eV/atom

Cell lengths 4.903, 4.903, 6.069 Å; angles 90.00, 90.00, 90.00 degrees
Space group I-42d (No. 122)
Unique sites:
Ca  0.000  0.000  0.000 (multiplicity 4)
C  0.000  0.000  0.500 (multiplicity 4)
N  0.118  0.750  0.625 (multiplicity 8)



# 11
A relaxed Ca2CN crystal, computed with PBE.

Calculated values
**Offset from the most stable computed form**: 3.4 meV/atom
**Raw formation energy**: 0.586 eV/atom

Cell lengths 6.178, 6.178, 6.178 Å; angles 90.00, 90.00, 90.00 degrees
Space group Fm-3m (No. 225)
Unique sites:
Ca  0.250  0.250  0.250 (multiplicity 8)
C  0.000  0.000  0.000 (multiplicity 4)
N  0.000  0.000  0.500 (multiplicity 4)



# 12
A relaxed CaCN2 crystal, computed with PBE.

Calculated values
**Raw formation energy**: -0.797 eV/atom

Cell lengths 3.558, 6.498, 5.411 Å; angles 90.00, 108.94, 90.00 degrees
Space group P2_1/m (No. 11)
Unique sites:
Ca  0.000  0.000  0.000 (multiplicity 2)
C  0.291  0.250  0.583 (multiplicity 2)
N  0.170  0.250  0.346 (multiplicity 2)
N  0.416  0.250  0.830 (multiplicity 2)



# 13
A relaxed Ca2CN crystal, computed with PBE.

Calculated values
**Offset from the most stable computed form**: 0.0 meV/atom
**Raw formation energy**: 0.583 eV/atom

Cell lengths 6.393, 6.393, 7.615 Å; angles 90.00, 90.00, 90.00 degrees
Space group I-42d (No. 122)
Unique sites:
Ca  0.215  0.750  0.125 (multiplicity 8)
C  0.000  0.000  0.500 (multiplicity 4)
N  0.000  0.000  0.000 (multiplicity 4)



# 14
A relaxed CaC6N8 crystal, computed with PBE.

Calculated values
**Raw formation energy**: 0.365 eV/atom

Cell lengths 7.0482, 7.0482, 11.0610 Å; angles 90.00, 90.00, 120.00 degrees
Space group R-3 (No. 148, hexagonal axes)
Unique sites:
Ca  0.0000  0.0000  0.0000 (multiplicity 3)
C  0.0988  0.5493  0.3339 (multiplicity 18)
N  0.0000  0.0000  0.3307 (multiplicity 6)
N  0.9998  0.3241  0.9809 (multiplicity 18)



# 15
A relaxed CaCN2 crystal, computed with PBE.

Calculated values
**Raw formation energy**: -0.826 eV/atom

Cell lengths 6.204, 6.130, 6.797 Å; angles 90.00, 116.22, 90.00 degrees
Space group P2_1/c (No. 14)
Unique sites:
Ca  0.234  0.137  0.262 (multiplicity 4)
C  0.220  0.640  0.150 (multiplicity 4)
N  0.069  0.719  0.631 (multiplicity 4)
N  0.368  0.003  0.667 (multiplicity 4)



# 16
A relaxed Ca5C2N6 crystal, computed with PBE.

Calculated values
**Raw formation energy**: -0.510 eV/atom

Cell lengths 9.191, 5.914, 12.263 Å; angles 90.00, 99.08, 90.00 degrees
Space group C2/c (No. 15)
Unique sites:
Ca  0.000  0.092  0.250 (multiplicity 4)
Ca  0.059  0.237  0.994 (multiplicity 8)
Ca  0.153  0.443  0.708 (multiplicity 8)
C  0.226  0.357  0.424 (multiplicity 8)
N  0.078  0.428  0.375 (multiplicity 8)
N  0.158  0.065  0.641 (multiplicity 8)
N  0.231  0.090  0.452 (multiplicity 8)



# 17
A relaxed Ca3C2N4 crystal, computed with PBE.

Calculated values
**Raw formation energy**: -0.538 eV/atom

Cell lengths 9.602, 10.541, 5.388 Å; angles 90.00, 104.02, 90.00 degrees
Space group C2/c (No. 15)
Unique sites:
Ca  0.000  0.050  0.250 (multiplicity 4)
Ca  0.126  0.368  0.566 (multiplicity 8)
C  0.240  0.110  0.829 (multiplicity 8)
N  0.127  0.388  0.051 (multiplicity 8)
N  0.148  0.133  0.617 (multiplicity 8)



# 18
A relaxed NaCa2CN crystal, computed with PBE.

Calculated values
**Raw formation energy**: 0.786 eV/atom

Cell lengths 4.831, 4.831, 3.967 Å; angles 90.00, 90.00, 90.00 degrees
Space group P4/mmm (No. 123)
Unique sites:
Na  0.000  0.000  0.000 (multiplicity 1)
Ca  0.000  0.500  0.500 (multiplicity 2)
C  0.500  0.500  0.000 (multiplicity 1)
N  0.500  0.500  0.500 (multiplicity 1)



# 19
A relaxed CaNd2C2N6 crystal, computed with PBE.

Calculated values
**Raw formation energy**: -0.603 eV/atom

Cell lengths 9.343, 5.263, 6.517 Å; angles 90.00, 119.22, 90.00 degrees
Space group C2/m (No. 12)
Unique sites:
Ca  0.000  0.000  0.000 (multiplicity 2)
Nd  0.203  0.000  0.679 (multiplicity 4)
C  0.031  0.500  0.743 (multiplicity 4)
N  0.053  0.277  0.320 (multiplicity 8)
N  0.197  0.500  0.878 (multiplicity 4)



# 20
A relaxed Ca3NiC2N6 crystal, computed with PBE.

Calculated values
**Raw formation energy**: -0.289 eV/atom

Cell lengths 5.1888, 5.1888, 6.1155 Å; angles 90.00, 90.00, 120.00 degrees
Space group P-3m1 (No. 164)
Unique sites:
Ca  0.0000  0.0000  0.0000 (multiplicity 1)
Ca  0.3333  0.6667  0.6992 (multiplicity 2)
Ni  0.0000  0.0000  0.5000 (multiplicity 1)
C  0.3333  0.6667  0.2887 (multiplicity 2)
N  0.1815  0.3631  0.2814 (multiplicity 6)



The following magnetic moment values (in μB per formula unit) correspond, in order, to the records above: 0.00, 0.00, 0.12, 0.01, 0.00, 0.71, 1.13, 0.00, 0.00, 0.00, 1.20, 0.00, 3.00, 0.00, 0.00, 0.00, 0.00, 0.00, 0.25, 0.00.